# 1
KLaDy2Se4 after structural relaxation. Source: Alexandria, functional GGA-PBE.

Cell lengths 7.321, 4.159, 7.486 Å; angles 90.00, 108.37, 90.00 degrees
Atoms (fractional coordinates):
K1 0.000 0.000 0.000
La1 0.500 0.500 0.000
Dy1 0.000 0.500 0.500
Dy2 0.500 0.000 0.500
Se1 0.246 0.000 0.729
Se2 0.265 0.500 0.277
Se3 0.735 0.500 0.723
Se4 0.754 0.000 0.271

## Properties
- Formation energy without anion corrections: -1783 meV per atom
- SG: No. 10



# 2
RbNaSrPb after structural relaxation. Source: Alexandria, functional GGA-PBE.

Cell lengths 5.929, 5.929, 5.929 Å; angles 60.00, 60.00, 60.00 degrees
Atoms (fractional coordinates):
Rb1 0.000 0.000 0.000
Na1 0.250 0.250 0.250
Sr1 0.750 0.750 0.750
Pb1 0.500 0.500 0.500

## Properties
- Energy of formation: -0.1843 eV/atom
- SG: No. 216



> What is the formula in the second record?

RbNaSrPb